1.
First-principles (PBE) data for Zr2ScW after structural relaxation, as listed in Alexandria.

Cell and atoms, written as POSCAR:
```
Zr2ScW
1.0
2.916 0.000 0.000
0.000 4.787 0.000
0.000 0.000 5.927
Zr Sc W
2 1 1
Direct
0.000 0.000 0.000 Zr
0.500 0.500 0.264 Zr
0.000 0.000 0.526 Sc
0.500 0.500 0.766 W
```

Values from the calculation:
energy relative to the elements: 0.2470 eV/atom
total magnetic moment: 0.00 Bohr magnetons per cell
energy relative to the lowest polymorph listed for this composition: 118 meV per atom
E_tot: -8.85 eV/atom

=====

2.
First-principles (PBE) data for LuZn2In after structural relaxation, as listed in Alexandria.

Cell and atoms, written as POSCAR:
```
LuZn2In
1.0
4.482 0.000 0.000
0.000 4.482 0.000
0.000 0.000 4.013
Lu Zn In
1 2 1
Direct
0.000 0.000 0.000 Lu
0.000 0.500 0.500 Zn
0.500 0.000 0.500 Zn
0.500 0.500 0.000 In
```

Values from the calculation:
energy relative to the elements: -0.2662 eV/atom
total magnetic moment: 0.00 Bohr magnetons per cell
E_tot: -2.72 eV/atom

=====

3.
First-principles (PBE) data for Ca2PrThBi4 after structural relaxation, as listed in Alexandria.

Cell and atoms, written as POSCAR:
```
Ca2PrThBi4
1.0
7.967 0.000 0.000
0.000 4.644 0.000
-2.718 0.000 7.593
Ca Pr Th Bi
2 1 1 4
Direct
0.000 0.000 0.000 Ca
0.000 0.500 0.500 Ca
0.500 0.000 0.500 Pr
0.500 0.500 0.000 Th
0.251 0.500 0.248 Bi
0.253 0.000 0.753 Bi
0.747 0.000 0.247 Bi
0.749 0.500 0.752 Bi
```

Values from the calculation:
energy relative to the elements: -0.7613 eV/atom
total magnetic moment: 0.00 Bohr magnetons per cell
E_tot: -4.73 eV/atom

=====

4.
First-principles (PBE) data for DyScHgRu after structural relaxation, as listed in Alexandria.

Cell and atoms, written as POSCAR:
```
DyScHgRu
1.0
6.926 0.000 0.000
0.000 6.926 0.000
0.000 0.000 6.926
Dy Sc Hg Ru
4 4 4 4
Direct
0.000 0.000 0.000 Dy
0.000 0.500 0.500 Dy
0.500 0.000 0.500 Dy
0.500 0.500 0.000 Dy
0.000 0.000 0.500 Sc
0.000 0.500 0.000 Sc
0.500 0.000 0.000 Sc
0.500 0.500 0.500 Sc
0.250 0.250 0.250 Hg
0.250 0.750 0.750 Hg
0.750 0.250 0.750 Hg
0.750 0.750 0.250 Hg
0.250 0.250 0.750 Ru
0.250 0.750 0.250 Ru
0.750 0.250 0.250 Ru
0.750 0.750 0.750 Ru
```

Values from the calculation:
energy relative to the elements: -0.3687 eV/atom
total magnetic moment: 0.00 Bohr magnetons per cell
energy relative to the lowest polymorph listed for this composition: 148 meV per atom
E_tot: -5.50 eV/atom

=====

5.
First-principles (PBE) data for Ho2MgHg4 after structural relaxation, as listed in Alexandria.

Cell and atoms, written as POSCAR:
```
Ho2MgHg4
1.0
2.489 1.437 8.333
-2.489 1.437 8.333
0.000 -2.874 8.333
Ho Mg Hg
2 1 4
Direct
0.250 0.250 0.250 Ho
0.750 0.750 0.750 Ho
0.000 0.000 0.000 Mg
0.128 0.128 0.128 Hg
0.376 0.376 0.376 Hg
0.624 0.624 0.624 Hg
0.872 0.872 0.872 Hg
```

Values from the calculation:
energy relative to the elements: -0.3192 eV/atom
total magnetic moment: 0.00 Bohr magnetons per cell
energy relative to the lowest polymorph listed for this composition: 0 meV per atom
E_tot: -2.03 eV/atom

=====

6.
First-principles (PBE) data for ScCuOsSe2 after structural relaxation, as listed in Alexandria.

Cell and atoms, written as POSCAR:
```
ScCuOsSe2
1.0
5.047 0.000 0.000
0.000 5.047 0.000
0.000 0.000 4.988
Sc Cu Os Se
1 1 1 2
Direct
0.000 0.000 0.000 Sc
0.500 0.500 0.500 Cu
0.000 0.000 0.500 Os
0.000 0.500 0.000 Se
0.500 0.000 0.000 Se
```

Values from the calculation:
ΔE_f (raw): 1039 meV/atom
total magnetic moment: 2.67 Bohr magnetons per cell
E_tot: -4.69 eV/atom

=====

7.
First-principles (PBE) data for HfPtOF2 after structural relaxation, as listed in Alexandria.

Cell and atoms, written as POSCAR:
```
HfPtOF2
1.0
4.174 0.000 0.000
0.000 4.174 0.000
0.000 0.000 4.070
Hf Pt O F
1 1 1 2
Direct
0.000 0.000 0.000 Hf
0.500 0.500 0.500 Pt
0.000 0.000 0.500 O
0.000 0.500 0.000 F
0.500 0.000 0.000 F
```

Values from the calculation:
ΔE_f (raw): -1910 meV/atom
total magnetic moment: 0.20 Bohr magnetons per cell
energy relative to the lowest polymorph listed for this composition: 0 meV per atom
E_tot: -6.85 eV/atom

=====

8.
First-principles (PBE) data for PdCSe2Br after structural relaxation, as listed in Alexandria.

Cell and atoms, written as POSCAR:
```
PdCSe2Br
1.0
4.955 0.000 0.000
0.000 4.955 0.000
0.000 0.000 5.134
Pd C Se Br
1 1 2 1
Direct
0.000 0.000 0.000 Pd
0.500 0.500 0.500 C
0.000 0.500 0.000 Se
0.500 0.000 0.000 Se
0.000 0.000 0.500 Br
```

Values from the calculation:
ΔE_f (raw): 1664 meV/atom
total magnetic moment: 0.23 Bohr magnetons per cell
energy relative to the lowest polymorph listed for this composition: 426 meV per atom
E_tot: -2.95 eV/atom

=====

E_tot of number 6 (ScCuOsSe2)?
-4.69 eV/atom

=====

Look up the E_tot of the first one.
-8.85 eV/atom